No. 1
## Ni4Mo2Rh (PBE)

Data for a relaxed structure of Ni4Mo2Rh.

Output
- formation energy (meV per atom) = 224
- DOS(E_F) (states/eV per cell) = 9.64
- space group = C2/m (12)

Structure (extended XYZ):
```
7
Lattice="6.204 -0.001 0.056 -0.009 6.204 0.062 -3.073 -3.079 2.366" Properties=species:S:1:pos:R:3 pbc="T T T"
Ni 4.287 1.913 0.058
Ni 1.908 4.290 0.061
Ni 1.912 1.915 0.067
Ni 1.210 1.209 2.419
Mo 3.156 -0.031 1.241
Mo -0.035 3.155 1.244
Rh 3.122 3.124 2.485
```


No. 2
## NiMoRh2 (PBE)

Data for a relaxed structure of NiMoRh2.

Output
- formation energy (meV per atom) = 13
- DOS(E_F) (states/eV per cell) = 2.24
- energy above the lowest structure with this stoichiometry (eV per atom) = 0.225
- space group = Fm-3m (225)

Structure (extended XYZ):
```
4
Lattice="0.000 3.035 3.035 3.035 0.000 3.035 3.035 3.035 0.000" Properties=species:S:1:pos:R:3 pbc="T T T"
Ni 0.000 0.000 0.000
Mo 3.035 3.035 3.035
Rh 1.518 1.518 1.518
Rh 4.553 4.553 4.553
```


No. 3
## NiMo2Rh4 (PBE)

Data for a relaxed structure of NiMo2Rh4.

Output
- formation energy (meV per atom) = 35
- DOS(E_F) (states/eV per cell) = 6.16
- space group = R-3m (166)

Structure (extended XYZ):
```
7
Lattice="-2.967 2.830 -1.412 -3.435 0.953 2.469 1.044 5.905 2.982" Properties=species:S:1:pos:R:3 pbc="T T T"
Ni 0.000 0.000 0.000
Mo -3.357 3.853 1.458
Mo -2.000 5.835 2.581
Rh -5.121 5.654 2.117
Rh -3.668 7.777 3.319
Rh -1.689 1.911 0.720
Rh -0.236 4.034 1.923
```


No. 4
## Ni5MoRh (PBE)

Data for a relaxed structure of Ni5MoRh.

Output
- formation energy (meV per atom) = 1015
- DOS(E_F) (states/eV per cell) = 11.34
- space group = Imm2 (44)

Structure (extended XYZ):
```
7
Lattice="4.613 0.000 0.000 0.000 6.220 0.000 -2.307 -3.110 3.979" Properties=species:S:1:pos:R:3 pbc="T T T"
Ni 0.491 0.000 1.859
Ni 3.458 3.110 0.000
Ni 2.798 3.110 2.120
Ni 4.299 1.131 0.000
Ni 4.299 5.089 0.000
Mo 2.046 0.000 0.000
Rh 1.202 3.110 0.000
```


No. 5
## Ni2MoRh6 (PBE)

Data for a relaxed structure of Ni2MoRh6.

Output
- formation energy (meV per atom) = -80
- DOS(E_F) (states/eV per cell) = 11.41
- space group = C2/m (12)

Structure (extended XYZ):
```
9
Lattice="-1.004 -3.572 0.840 -1.003 -2.614 -3.702 6.612 -4.301 -1.772" Properties=species:S:1:pos:R:3 pbc="T T T"
Ni 3.810 -5.889 -3.258
Ni 0.795 -4.599 -1.377
Mo 2.805 -3.458 -2.737
Rh 4.867 -8.337 -3.792
Rh -0.262 -2.150 -0.843
Rh 0.311 -2.898 -3.337
Rh 1.283 -5.327 -3.891
Rh 4.293 -7.590 -1.297
Rh 3.322 -5.160 -0.743
```


No. 6
## Ni3MoRh3 (PBE)

Data for a relaxed structure of Ni3MoRh3.

Output
- formation energy (meV per atom) = -94
- DOS(E_F) (states/eV per cell) = 22.16
- energy above the lowest structure with this stoichiometry (eV per atom) = 0.000
- space group = P-1 (2)

Structure (extended XYZ):
```
14
Lattice="4.244 -0.004 0.003 -0.007 6.118 -3.535 0.004 0.003 7.075" Properties=species:S:1:pos:R:3 pbc="T T T"
Ni 1.064 4.997 2.597
Ni 1.044 1.374 -0.495
Ni 1.066 5.856 -2.090
Ni 3.177 1.120 0.946
Ni 3.197 4.743 4.038
Ni 3.175 0.261 5.634
Mo 1.058 4.077 0.004
Mo 3.183 2.040 3.539
Rh 3.183 3.865 1.614
Rh 3.176 2.794 -0.991
Rh 3.181 5.581 -0.617
Rh 1.058 2.252 1.929
Rh 1.065 3.323 4.534
Rh 1.059 0.535 4.160
```


No. 7
## Ni12MoRh6 (PBE)

Data for a relaxed structure of Ni12MoRh6.

Output
- formation energy (meV per atom) = 161
- DOS(E_F) (states/eV per cell) = 29.93
- space group = R-3 (148)

Structure (extended XYZ):
```
19
Lattice="6.244 0.335 0.401 -0.616 6.222 0.401 -0.616 -0.717 6.194" Properties=species:S:1:pos:R:3 pbc="T T T"
Ni 4.298 3.270 3.333
Ni 2.012 4.657 3.813
Ni 2.581 2.432 5.263
Ni 0.715 2.570 3.663
Ni 3.000 1.183 3.183
Ni 2.432 3.408 1.733
Ni 0.039 0.655 2.401
Ni 4.371 3.502 6.431
Ni 2.799 5.461 5.922
Ni 4.973 5.185 4.595
Ni 0.642 2.338 0.565
Ni 2.214 0.379 1.074
Mo 0.000 0.000 0.000
Rh 3.769 5.528 2.274
Rh 4.349 1.925 1.151
Rh 0.120 4.418 2.100
Rh 1.244 0.312 4.723
Rh 0.663 3.915 5.845
Rh 4.893 1.422 4.896
```


No. 8
## NiMoRh2 (PBE)

Data for a relaxed structure of NiMoRh2.

Output
- formation energy (meV per atom) = 381
- DOS(E_F) (states/eV per cell) = 2.24
- energy above the lowest structure with this stoichiometry (eV per atom) = 0.593
- space group = I-42d (122)

Structure (extended XYZ):
```
8
Lattice="6.729 0.000 0.000 0.000 6.729 0.000 3.365 3.365 2.712" Properties=species:S:1:pos:R:3 pbc="T T T"
Ni 3.365 3.365 0.000
Ni 3.365 6.729 1.356
Mo 0.000 0.000 0.000
Mo 6.729 3.365 1.356
Rh 5.124 1.682 0.678
Rh 1.605 5.047 0.678
Rh 5.047 4.970 2.034
Rh 8.412 8.489 2.034
```


No. 9
## Ni4MoRh2 (PBE)

Data for a relaxed structure of Ni4MoRh2.

Output
- formation energy (meV per atom) = 127
- DOS(E_F) (states/eV per cell) = 20.66
- energy above the lowest structure with this stoichiometry (eV per atom) = 0.084
- space group = Cmce (64)

Structure (extended XYZ):
```
14
Lattice="-0.079 -7.141 -5.201 3.000 2.201 -3.068 1.792 -2.665 3.632" Properties=species:S:1:pos:R:3 pbc="T T T"
Ni 1.484 -4.347 -5.570
Ni 2.363 -5.569 -3.645
Ni 0.862 -6.669 -2.111
Ni -0.014 -5.199 -3.855
Ni 4.727 -2.406 -0.781
Ni 3.851 -0.936 -2.526
Ni 2.350 -2.036 -0.991
Ni 3.229 -3.258 0.934
Mo 0.000 0.000 0.000
Mo 1.460 -2.470 -4.134
Rh 2.657 0.550 -0.797
Rh 2.056 -8.156 -3.840
Rh 3.595 -3.485 -2.774
Rh 1.117 -4.120 -1.863
```


No. 10
## Ni3MoRh2 (PBE)

Data for a relaxed structure of Ni3MoRh2.

Output
- formation energy (meV per atom) = -6
- DOS(E_F) (states/eV per cell) = 19.21
- energy above the lowest structure with this stoichiometry (eV per atom) = 0.000
- space group = C2/c (15)

Structure (extended XYZ):
```
12
Lattice="4.644 -0.927 1.235 0.256 4.729 1.235 -0.838 -0.651 6.565" Properties=species:S:1:pos:R:3 pbc="T T T"
Ni 1.934 2.134 2.876
Ni 2.128 1.018 6.159
Ni 3.175 1.691 8.363
Ni 1.216 0.170 3.956
Ni 2.846 2.981 5.080
Ni 0.886 1.461 0.673
Mo 3.620 -0.906 6.159
Mo 0.442 4.057 2.876
Rh 0.178 2.499 5.023
Rh 2.884 -0.124 1.741
Rh 1.178 3.275 7.295
Rh 3.884 0.653 4.012
```


No. 11
## NiMo4Rh (PBE)

Data for a relaxed structure of NiMo4Rh.

Output
- formation energy (meV per atom) = 380
- DOS(E_F) (states/eV per cell) = 6.22
- space group = F-43m (216)

Structure (extended XYZ):
```
6
Lattice="4.471 -2.318 0.951 2.582 1.075 4.295 0.331 -3.495 3.734" Properties=species:S:1:pos:R:3 pbc="T T T"
Ni 5.538 -3.554 6.734
Mo 4.996 -2.933 3.846
Mo 2.939 -3.517 5.230
Mo 4.058 -1.246 5.508
Mo 2.775 -1.780 3.374
Rh 0.000 0.000 0.000
```


No. 12
## Ni4Mo2Rh3 (PBE)

Data for a relaxed structure of Ni4Mo2Rh3.

Output
- formation energy (meV per atom) = 77
- DOS(E_F) (states/eV per cell) = 24.85
- space group = C2/c (15)

Structure (extended XYZ):
```
18
Lattice="-0.069 4.064 3.018 2.924 -3.478 5.373 6.921 1.078 -0.673" Properties=species:S:1:pos:R:3 pbc="T T T"
Ni 4.306 -0.336 5.887
Ni 3.264 1.556 6.625
Ni 5.470 2.000 1.831
Ni 6.512 0.108 1.093
Ni 3.980 0.320 0.869
Ni 7.152 0.818 3.341
Ni 5.796 1.344 6.849
Ni 2.624 0.846 4.377
Mo 3.152 2.461 2.434
Mo 7.582 2.366 5.292
Mo 6.624 -0.797 5.284
Mo 2.194 -0.702 2.426
Rh 1.407 0.651 0.515
Rh 9.001 -0.338 4.790
Rh 8.369 1.013 7.203
Rh 0.775 2.001 2.928
Rh 4.772 -0.336 3.306
Rh 5.004 2.000 4.412
```


No. 13
## Ni7Mo2Rh (PBE)

Data for a relaxed structure of Ni7Mo2Rh.

Output
- formation energy (meV per atom) = 631
- DOS(E_F) (states/eV per cell) = 11.67
- space group = Cmmm (65)

Structure (extended XYZ):
```
10
Lattice="-2.626 0.262 -2.358 -4.723 -2.607 4.970 1.927 6.942 -1.374" Properties=species:S:1:pos:R:3 pbc="T T T"
Ni -3.473 -0.813 3.778
Ni 0.677 5.148 -0.182
Ni -1.172 1.934 -1.135
Ni -4.249 2.663 2.373
Ni -2.526 -0.009 0.156
Ni -2.896 4.607 1.082
Ni -2.711 2.299 0.619
Mo -4.028 0.407 1.876
Mo -1.394 4.190 -0.637
Rh 0.000 0.000 0.000
```


No. 14
## NiMo2RuRh (PBE)

Data for a relaxed structure of NiMo2RuRh.

Output
- formation energy (meV per atom) = 1334
- DOS(E_F) (states/eV per cell) = 8.39
- energy above the lowest structure with this stoichiometry (eV per atom) = 0.000
- space group = P4/mmm (123)

Structure (extended XYZ):
```
5
Lattice="-2.147 1.211 3.636 2.130 -3.083 2.285 3.185 2.882 0.921" Properties=species:S:1:pos:R:3 pbc="T T T"
Ru 1.065 -1.542 1.143
Mo 1.592 1.441 0.460
Mo -1.074 0.606 1.818
Rh 1.584 0.505 3.421
Ni 0.000 0.000 0.000
```


No. 15
## NiMo2RuRh (PBE)

Data for a relaxed structure of NiMo2RuRh.

Output
- formation energy (meV per atom) = 1749
- DOS(E_F) (states/eV per cell) = 8.46
- energy above the lowest structure with this stoichiometry (eV per atom) = 0.415
- space group = P4/mmm (123)

Structure (extended XYZ):
```
5
Lattice="4.604 0.000 0.000 0.000 4.697 0.000 0.000 0.000 4.604" Properties=species:S:1:pos:R:3 pbc="T T T"
Ru 0.000 0.000 0.000
Mo 0.000 0.000 2.302
Mo 2.302 0.000 0.000
Rh 0.000 2.349 0.000
Ni 2.302 2.349 2.302
```


No. 16
## NiMo2RuRh (PBE)

Data for a relaxed structure of NiMo2RuRh.

Output
- formation energy (meV per atom) = 1946
- DOS(E_F) (states/eV per cell) = 7.39
- energy above the lowest structure with this stoichiometry (eV per atom) = 0.612
- space group = P4/mmm (123)

Structure (extended XYZ):
```
5
Lattice="4.629 0.000 0.000 0.000 4.650 0.000 0.000 0.000 4.629" Properties=species:S:1:pos:R:3 pbc="T T T"
Ru 0.000 2.325 0.000
Mo 0.000 0.000 2.315
Mo 2.315 0.000 0.000
Rh 0.000 0.000 0.000
Ni 2.315 2.325 2.315
```


No. 17
## NiMo2RhS (PBE)

Data for a relaxed structure of NiMo2RhS.

Output
- DOS(E_F) (states/eV per cell) = 6.87
- raw total energy (eV/atom) = -6.35
- space group = P4/mmm (123)

Structure (extended XYZ):
```
5
Lattice="-4.036 -0.764 -1.693 -1.675 -0.479 4.210 -0.884 4.351 0.144" Properties=species:S:1:pos:R:3 pbc="T T T"
Ni 0.000 0.000 0.000
Mo -0.442 2.176 0.072
Mo -2.018 -0.382 -0.846
Rh -0.838 -0.240 2.105
S -3.297 1.554 1.331
```


No. 18
## NiMoRhSe2 (PBE)

Data for a relaxed structure of NiMoRhSe2.

Output
- DOS(E_F) (states/eV per cell) = 4.44
- raw total energy (eV/atom) = -5.29
- space group = P4/mmm (123)

Structure (extended XYZ):
```
5
Lattice="-4.380 -0.245 1.302 0.888 -3.823 2.267 0.976 2.446 3.742" Properties=species:S:1:pos:R:3 pbc="T T T"
Ni 0.000 0.000 0.000
Mo -1.258 -0.811 3.656
Rh 0.444 -1.911 1.134
Se 0.488 1.223 1.871
Se -2.190 -0.123 0.651
```


No. 19
## NiSnMoRh2 (PBE)

Data for a relaxed structure of NiSnMoRh2.

Output
- formation energy (meV per atom) = 929
- DOS(E_F) (states/eV per cell) = 4.71
- space group = P4/mmm (123)

Structure (extended XYZ):
```
5
Lattice="-1.280 -4.139 -1.889 2.453 0.934 -3.709 3.767 -2.065 1.971" Properties=species:S:1:pos:R:3 pbc="T T T"
Ni 1.227 0.467 -1.855
Mo 0.000 0.000 0.000
Rh 1.883 -1.032 0.986
Rh -0.640 -2.069 -0.944
Sn 2.470 -2.635 -1.813
```


No. 20
## NiTeMo2Rh (PBE)

Data for a relaxed structure of NiTeMo2Rh.

Output
- DOS(E_F) (states/eV per cell) = 9.20
- raw total energy (eV/atom) = -5.80
- space group = P4/mmm (123)

Structure (extended XYZ):
```
5
Lattice="-0.437 -4.140 -2.616 2.772 -2.052 2.786 -3.812 -1.361 2.791" Properties=species:S:1:pos:R:3 pbc="T T T"
Ni 1.386 -1.026 1.393
Mo -1.906 -0.681 1.396
Mo -0.218 -2.070 -1.308
Te 0.000 0.000 0.000
Rh -0.738 -3.777 1.480
```


No. 21
## TiNiMoRh2 (PBE)

Data for a relaxed structure of TiNiMoRh2.

Output
- formation energy (meV per atom) = 880
- DOS(E_F) (states/eV per cell) = 8.18
- space group = P4/mmm (123)

Structure (extended XYZ):
```
5
Lattice="4.511 0.000 0.000 0.000 4.163 0.000 0.000 0.000 4.511" Properties=species:S:1:pos:R:3 pbc="T T T"
Ni 0.000 0.000 0.000
Mo 2.256 2.082 2.256
Rh 0.000 0.000 2.256
Rh 2.256 0.000 0.000
Ti 0.000 2.082 0.000
```


No. 22
## TiNiMo2Rh (PBE)

Data for a relaxed structure of TiNiMo2Rh.

Output
- formation energy (meV per atom) = 978
- DOS(E_F) (states/eV per cell) = 8.44
- space group = P4/mmm (123)

Structure (extended XYZ):
```
5
Lattice="4.450 0.000 0.000 0.000 4.385 0.000 0.000 0.000 4.450" Properties=species:S:1:pos:R:3 pbc="T T T"
Ni 0.000 0.000 0.000
Mo 0.000 0.000 2.225
Mo 2.225 0.000 0.000
Rh 2.225 2.193 2.225
Ti 0.000 2.193 0.000
```


No. 23
## NiMoRhW (PBE)

Data for a relaxed structure of NiMoRhW.

Output
- formation energy (meV per atom) = 105
- DOS(E_F) (states/eV per cell) = 5.82
- space group = F-43m (216)

Structure (extended XYZ):
```
4
Lattice="-1.134 3.014 2.914 -3.682 -0.441 2.260 0.153 -0.915 4.243" Properties=species:S:1:pos:R:3 pbc="T T T"
Ni 0.000 0.000 0.000
Mo -1.166 0.415 2.354
Rh -3.497 1.244 7.062
W -2.331 0.829 4.708
```


No. 24
## ZnNiMoRh (PBE)

Data for a relaxed structure of ZnNiMoRh.

Output
- formation energy (meV per atom) = -27
- DOS(E_F) (states/eV per cell) = 4.56
- space group = F-43m (216)

Structure (extended XYZ):
```
4
Lattice="4.283 0.000 0.000 2.141 3.709 0.000 2.141 1.236 3.497" Properties=species:S:1:pos:R:3 pbc="T T T"
Ni 0.000 0.000 0.000
Mo 2.141 1.236 0.874
Rh 4.283 2.473 1.748
Zn 6.424 3.709 2.623
```


No. 25
## ZrNiMoRh2 (PBE)

Data for a relaxed structure of ZrNiMoRh2.

Output
- formation energy (meV per atom) = 735
- DOS(E_F) (states/eV per cell) = 5.66
- space group = P4/mmm (123)

Structure (extended XYZ):
```
5
Lattice="4.666 0.000 0.000 0.000 4.460 0.000 0.000 0.000 4.666" Properties=species:S:1:pos:R:3 pbc="T T T"
Ni 0.000 2.230 0.000
Mo 0.000 0.000 0.000
Rh 0.000 0.000 2.333
Rh 2.333 0.000 0.000
Zr 2.333 2.230 2.333
```